Here is a crystal of LaZrPt relaxed with PBEsol from Alexandria. Energies are from meta-GGA SCAN.

Cell and atoms, written as POSCAR:
```
LaZrPt
1.0
3.441 0.000 0.000
0.000 3.441 0.000
0.000 0.000 11.970
La Zr Pt
2 2 2
Direct
0.000 0.000 0.000 La
0.500 0.500 0.500 La
0.000 0.000 0.288 Zr
0.500 0.500 0.788 Zr
0.000 0.000 0.687 Pt
0.500 0.500 0.187 Pt
```

Output
The theoretical density is 10.0 g/cm³. As for the symmetry: I4mm, No. 107. As for the density of states at the Fermi level: 3.93 states/eV/f.u. As for the formation energy from the elements: -2.30 eV per formula unit.